Record 1
First-principles (PBE) data for a relaxed Zr2Sc8In crystal, as listed in Alexandria via LeMat-Bulk.

Computed properties:
DOS(E_F) = 1.537 states/eV per atom
symmetry = C2/m
formation enthalpy at 0 K = -90 meV/atom
density = 4.186 g/cm³

abc: 8.561 8.561 7.216
angles: 104.63 104.63 30.71
Positions (direct):
Zr: 0.221 0.221 0.126
Zr: 0.779 0.779 0.874
Sc: 0.045 0.045 0.222
Sc: 0.140 0.140 0.684
Sc: 0.317 0.317 0.593
Sc: 0.405 0.405 0.054
Sc: 0.595 0.595 0.946
Sc: 0.683 0.683 0.407
Sc: 0.860 0.860 0.316
Sc: 0.955 0.955 0.778
In: 0.500 0.500 0.500



Record 2
First-principles (PBE) data for a relaxed Zr3ScIn2 crystal, as listed in Alexandria via LeMat-Bulk.

Computed properties:
excess energy over the best structure of this formula in the dataset = 0.000 eV per atom
DOS(E_F) = 1.125 states/eV per atom
symmetry = Pnma
formation enthalpy at 0 K = -157 meV/atom
density = 6.611 g/cm³

abc: 8.403 3.229 20.304
angles: 90.00 90.00 90.00
Positions (direct):
Zr: 0.011 0.250 0.159
Zr: 0.127 0.750 0.039
Zr: 0.140 0.250 0.299
Zr: 0.360 0.750 0.799
Zr: 0.373 0.250 0.539
Zr: 0.489 0.750 0.659
Zr: 0.511 0.250 0.341
Zr: 0.627 0.750 0.461
Zr: 0.640 0.250 0.201
Zr: 0.860 0.750 0.701
Zr: 0.873 0.250 0.961
Zr: 0.989 0.750 0.841
Sc: 0.060 0.750 0.567
Sc: 0.440 0.250 0.067
Sc: 0.560 0.750 0.933
Sc: 0.940 0.250 0.433
In: 0.178 0.250 0.692
In: 0.245 0.250 0.920
In: 0.255 0.750 0.420
In: 0.322 0.750 0.192
In: 0.678 0.250 0.808
In: 0.745 0.250 0.580
In: 0.755 0.750 0.080
In: 0.822 0.750 0.308



Record 3
First-principles (PBE) data for a relaxed Zr4Sc2In crystal, as listed in Alexandria via LeMat-Bulk.

Computed properties:
DOS(E_F) = 1.195 states/eV per atom
symmetry = R-3m
formation enthalpy at 0 K = -21 meV/atom
density = 5.836 g/cm³

abc: 7.973 7.973 7.973
angles: 36.70 36.70 36.70
Positions (direct):
Zr: 0.150 0.150 0.150
Zr: 0.291 0.291 0.291
Zr: 0.709 0.709 0.709
Zr: 0.850 0.850 0.850
Sc: 0.434 0.434 0.434
Sc: 0.566 0.566 0.566
In: 0.000 0.000 0.000



Record 4
First-principles (PBE) data for a relaxed In5Se crystal, as listed in Alexandria via LeMat-Bulk.

Computed properties:
excess energy over the best structure of this formula in the dataset = 0.193 eV per atom
DOS(E_F) = 0.467 states/eV per atom
symmetry = F-43m
E_form (uncorrected) = 0.10 eV per atom
density = 6.338 g/cm³

abc: 6.231 6.231 6.231
angles: 60.00 60.00 60.00
Positions (direct):
In: 0.000 0.000 0.000
In: 0.125 0.625 0.625
In: 0.625 0.125 0.625
In: 0.625 0.625 0.125
In: 0.625 0.625 0.625
Se: 0.250 0.250 0.250